# 1
DFT (GGA-PBE) results for a geometry-optimized NaFeRh structure.

The energy above the lowest structure with this stoichiometry is 1430.6 meV per atom. The calculated density comes out at 3.10 g cm⁻³. The volume is 194.6 Å³ per cell.

a = 4.981 Å, b = 4.981 Å, c = 9.059 Å
α = 90.00°, β = 90.00°, γ = 120.00°
Each line ends with the local moment (μB).
Element x y z (fractional)
Rh 0.000 0.000 0.000  0.96
Na 0.667 0.333 0.750  -0.01
Fe 0.000 0.000 0.750  3.13
Na 0.333 0.667 0.250  -0.01
Rh 0.000 0.000 0.500  0.96
Fe 0.000 0.000 0.250  3.13



# 2
DFT (GGA-PBE) results for a geometry-optimized NaFeRh structure.

The energy above the lowest structure with this stoichiometry is 260.0 meV per atom. The calculated density comes out at 5.80 g cm⁻³. The volume is 104.1 Å³ per cell.

a = 9.884 Å, b = 5.650 Å, c = 5.650 Å
α = 137.70°, β = 144.39°, γ = 35.61°
Each line ends with the local moment (μB).
Element x y z (fractional)
Fe 0.880 0.916 0.084  3.06
Fe 0.120 0.084 0.916  3.06
Rh 0.372 0.430 0.570  0.78
Na 0.745 0.751 0.249  -0.01
Rh 0.628 0.570 0.430  0.78
Na 0.255 0.249 0.751  -0.01



# 3
DFT (GGA-PBE) results for a geometry-optimized NaFe3Rh structure.

The energy above the lowest structure with this stoichiometry is 895.1 meV per atom. The calculated density comes out at 6.07 g cm⁻³. The volume is 80.2 Å³ per cell.

a = 4.313 Å, b = 4.313 Å, c = 4.313 Å
α = 90.00°, β = 90.00°, γ = 90.00°
Each line ends with the local moment (μB).
Element x y z (fractional)
Fe 0.000 0.500 0.000  2.94
Rh 0.500 0.500 0.500  0.72
Fe 0.500 0.000 0.000  3.12
Na 0.000 0.000 0.000  -0.04
Fe 0.000 0.000 0.500  2.85



# 4
DFT (GGA-PBE) results for a geometry-optimized NaFeRh structure.

The energy above the lowest structure with this stoichiometry is 313.1 meV per atom. The calculated density comes out at 6.39 g cm⁻³. The volume is 94.4 Å³ per cell.

a = 4.582 Å, b = 4.582 Å, c = 5.193 Å
α = 90.00°, β = 90.00°, γ = 120.00°
Each line ends with the local moment (μB).
Element x y z (fractional)
Na 0.000 0.000 0.750  -0.01
Rh 0.667 0.333 0.000  0.67
Fe 0.667 0.333 0.500  3.14
Rh 0.333 0.667 0.500  0.67
Na 0.000 0.000 0.250  -0.01
Fe 0.333 0.667 0.000  3.14



# 5
DFT (GGA-PBE) results for a geometry-optimized NaFeRh structure.

The energy above the lowest structure with this stoichiometry is 319.0 meV per atom. The calculated density comes out at 5.75 g cm⁻³. The volume is 105.0 Å³ per cell.

a = 4.218 Å, b = 5.472 Å, c = 5.472 Å
α = 105.40°, β = 113.79°, γ = 66.22°
Each line ends with the local moment (μB).
Element x y z (fractional)
Na 0.629 0.122 0.226  -0.01
Rh 0.289 0.200 0.647  0.50
Na 0.129 0.809 0.913  -0.01
Rh 0.968 0.543 0.304  0.50
Fe 0.783 0.390 0.824  2.80
Fe 0.474 0.720 0.494  2.80



# 6
DFT (GGA-PBE) results for a geometry-optimized NaFeRh structure.

The energy above the lowest structure with this stoichiometry is 0.0 meV per atom. The calculated density comes out at 5.72 g cm⁻³. The volume is 105.5 Å³ per cell.

a = 2.993 Å, b = 3.005 Å, c = 11.725 Å
α = 90.00°, β = 89.67°, γ = 90.00°
Each line ends with the local moment (μB).
Element x y z (fractional)
Na 0.259 0.750 0.637  -0.01
Na 0.741 0.250 0.363  -0.01
Fe 0.748 0.250 0.062  2.90
Rh 0.754 0.250 0.820  0.71
Fe 0.252 0.750 0.938  2.90
Rh 0.246 0.750 0.180  0.71



# 7
DFT (GGA-PBE) results for a geometry-optimized NaFe2Rh structure.

The energy above the lowest structure with this stoichiometry is 0.0 meV per atom. The calculated density comes out at 6.74 g cm⁻³. The volume is 58.6 Å³ per cell.

a = 4.359 Å, b = 4.359 Å, c = 4.359 Å
α = 60.00°, β = 60.00°, γ = 60.00°
Each line ends with the local moment (μB).
Element x y z (fractional)
Na 0.000 0.000 0.000  -0.01
Rh 0.500 0.500 0.500  0.78
Fe 0.750 0.750 0.750  3.01
Fe 0.250 0.250 0.250  3.01



# 8
DFT (GGA-PBE) results for a geometry-optimized NaFeRh structure.

The energy above the lowest structure with this stoichiometry is 306.9 meV per atom. The calculated density comes out at 6.31 g cm⁻³. The volume is 191.5 Å³ per cell.

a = 5.623 Å, b = 4.198 Å, c = 8.110 Å
α = 90.00°, β = 90.00°, γ = 90.00°
Each line ends with the local moment (μB).
Element x y z (fractional)
Rh 0.113 0.750 0.802  0.81
Na 0.389 0.250 0.950  -0.01
Rh 0.887 0.250 0.198  0.81
Fe 0.593 0.750 0.388  3.09
Na 0.611 0.750 0.050  -0.01
Na 0.889 0.250 0.550  -0.01
Rh 0.613 0.750 0.698  0.81
Fe 0.907 0.250 0.888  3.09
Fe 0.093 0.750 0.112  3.09
Rh 0.387 0.250 0.302  0.81
Fe 0.407 0.250 0.612  3.09
Na 0.111 0.750 0.450  -0.01



# 9
DFT (GGA-PBE) results for a geometry-optimized NaFeRh structure.

The energy above the lowest structure with this stoichiometry is 262.8 meV per atom. The calculated density comes out at 5.68 g cm⁻³. The volume is 106.3 Å³ per cell.

a = 4.720 Å, b = 5.629 Å, c = 4.776 Å
α = 80.61°, β = 112.73°, γ = 114.78°
Each line ends with the local moment (μB).
Element x y z (fractional)
Na 0.563 0.969 0.462  -0.01
Rh 0.768 0.379 0.962  0.27
Fe 0.348 0.539 0.962  2.77
Fe 0.273 0.388 0.462  2.77
Rh 0.853 0.549 0.462  0.27
Na 0.058 0.958 0.962  -0.01



# 10
DFT (GGA-PBE) results for a geometry-optimized NaFe2Rh structure.

The energy above the lowest structure with this stoichiometry is 239.2 meV per atom. The calculated density comes out at 5.87 g cm⁻³. The volume is 134.5 Å³ per cell.

a = 7.111 Å, b = 7.111 Å, c = 5.688 Å
α = 51.32°, β = 51.32°, γ = 90.00°
Each line ends with the local moment (μB).
Element x y z (fractional)
Rh 0.000 0.000 0.000  0.69
Na 0.250 0.750 0.500  -0.02
Fe 0.087 0.625 0.250  3.01
Rh 0.750 0.250 0.500  0.69
Fe 0.875 0.913 0.750  3.02
Na 0.500 0.500 0.000  -0.02
Fe 0.375 0.337 0.750  3.02
Fe 0.663 0.125 0.250  3.01



# 11
DFT (GGA-PBE) results for a geometry-optimized NaFeRh structure.

The energy above the lowest structure with this stoichiometry is 221.6 meV per atom. The calculated density comes out at 5.64 g cm⁻³. The volume is 106.9 Å³ per cell.

a = 4.384 Å, b = 5.981 Å, c = 4.384 Å
α = 90.06°, β = 90.16°, γ = 68.47°
Each line ends with the local moment (μB).
Element x y z (fractional)
Rh 0.098 0.357 0.615  0.79
Na 0.291 0.973 0.115  -0.01
Fe 0.997 0.561 0.115  3.09
Na 0.790 0.973 0.615  -0.01
Rh 0.599 0.357 0.115  0.79
Fe 0.496 0.561 0.615  3.09



# 12
DFT (GGA-PBE) results for a geometry-optimized NaFeRh structure.

The energy above the lowest structure with this stoichiometry is 348.0 meV per atom. The calculated density comes out at 6.06 g cm⁻³. The volume is 99.7 Å³ per cell.

a = 8.821 Å, b = 4.505 Å, c = 2.663 Å
α = 72.95°, β = 82.39°, γ = 81.73°
Element x y z (fractional)
Fe 0.803 0.256 0.813
Fe 0.018 0.308 0.192
Na 0.487 0.242 0.460
Rh 0.680 0.726 0.132
Na 0.243 0.799 0.848
Rh 0.940 0.778 0.492